Model a:
This record from the Alexandria database describes a relaxed YScCu crystal. The functional is PBE.

Calculated values
Spin magnetization = 0.00 Bohr magnetons per cell
Symmetry = No. 156

Unit cell a=4.5663 b=4.5663 c=3.8314 alpha=90.00 beta=90.00 gamma=120.00
Last column: nearest neighbours and their distance in Å.
Atoms (fractional coordinates):
Y 0.0000 0.0000 0.0000  6 Cu 3.22-3.30, 6 Sc 3.26
Sc 0.3333 0.6667 0.5016  3 Cu 2.64
Cu 0.6667 0.3333 0.4836  3 Sc 2.64

Model b:
This record from the Alexandria database describes a relaxed YScCu crystal. The functional is PBE.

Calculated values
Spin magnetization = 0.00 Bohr magnetons per cell
Symmetry = No. 216

Unit cell a=4.7015 b=4.7015 c=4.7015 alpha=60.00 beta=60.00 gamma=60.00
Last column: nearest neighbours and their distance in Å.
Atoms (fractional coordinates):
Y 0.0000 0.0000 0.0000  4 Cu 2.88
Sc 0.5000 0.5000 0.5000  4 Cu 2.88
Cu 0.2500 0.2500 0.2500  4 Sc 2.88, 4 Y 2.88

Q: Which of them is the least stable? A: model b.

Model a:
This record from the Alexandria database describes a relaxed YSc2Cu2 crystal. The functional is PBE.

Calculated values
Spin magnetization = 1.05 Bohr magnetons per cell
Symmetry = No. 139

Unit cell a=6.0697 b=6.0697 c=6.0697 alpha=134.46 beta=134.46 gamma=66.37
Last column: nearest neighbours and their distance in Å.
Atoms (fractional coordinates):
Y 0.0000 0.0000 0.0000  8 Cu 3.46, 10 Sc 3.57-3.65
Sc 0.3518 0.3518 0.0000  4 Cu 2.57
Sc 0.6482 0.6482 0.0000  4 Cu 2.57
Cu 0.2500 0.7500 0.5000  4 Sc 2.57
Cu 0.7500 0.2500 0.5000  4 Sc 2.57

Model b:
This record from the Alexandria database describes a relaxed YSc2Cu2 crystal. The functional is PBE.

Calculated values
Spin magnetization = 0.00 Bohr magnetons per cell
Symmetry = No. 127

Unit cell a=7.5834 b=7.5834 c=3.5681 alpha=90.00 beta=90.00 gamma=90.00
Last column: nearest neighbours and their distance in Å.
Atoms (fractional coordinates):
Y 0.0000 0.0000 0.0000  4 Cu 3.01, 8 Sc 3.36
Y 0.5000 0.5000 0.0000  4 Cu 3.01, 8 Sc 3.36
Sc 0.1600 0.3400 0.5000  6 Cu 2.81-2.93
Sc 0.3400 0.8400 0.5000  6 Cu 2.81-2.93
Sc 0.6600 0.1600 0.5000  6 Cu 2.81-2.93
Sc 0.8400 0.6600 0.5000  6 Cu 2.81-2.93
Cu 0.1232 0.6232 0.0000  1 Cu 2.64, 6 Sc 2.81-2.93
Cu 0.3768 0.1232 0.0000  1 Cu 2.64, 6 Sc 2.81-2.93
Cu 0.6232 0.8768 0.0000  1 Cu 2.64, 6 Sc 2.81-2.93
Cu 0.8768 0.3768 0.0000  1 Cu 2.64, 6 Sc 2.81-2.93

Q: Which of them is the least stable? A: model a.